NiBNF2: optimized geometry, GGA+U.

Lattice parameters (Å, degrees): 3.636 3.636 4.029 90.00 90.00 90.00
Atoms (fractional coordinates):
Ni 0.000 0.000 0.000
B 0.500 0.500 0.500
N 0.000 0.000 0.500
F 0.000 0.500 0.000
F 0.500 0.000 0.000

* ΔE to the lowest computed polymorph: 1361 meV per atom
* D(E_F): 0.2882 states/eV/atom
* calculated volume: 53 Å³/f.u.
* total moment: 0.00 μB per formula unit
* SG: P4/mmm (123)